Run A
VASP calculation (PBE-GGA) on a relaxed structure of Pr2NdGe4Ir2Pd2.

mass density: 9.6 Mg/m³

a b c (Å): 13.058 13.058 13.058
angles (deg): 161.81 160.94 26.47
Sites, in units of the cell vectors:
1 Pr 0.148 0.148 0.000
2 Pr 0.852 0.852 0.000
3 Nd 0.500 0.000 0.500
4 Ge 0.049 0.549 0.500
5 Ge 0.304 0.304 0.000
6 Ge 0.696 0.696 0.000
7 Ge 0.951 0.451 0.500
8 Ir 0.250 0.750 0.500
9 Ir 0.750 0.250 0.500
10 Pd 0.402 0.402 0.000
11 Pd 0.598 0.598 0.000

=====

Run B
VASP calculation (PBE-GGA) on a relaxed structure of Pr2NdGe4Ir2Pd2.

mass density: 9.5 Mg/m³

a b c (Å): 12.972 12.972 12.972
angles (deg): 161.41 160.80 26.85
Sites, in units of the cell vectors:
1 Pr 0.145 0.145 0.000
2 Pr 0.855 0.855 0.000
3 Nd 0.500 0.000 0.500
4 Ge 0.050 0.550 0.500
5 Ge 0.306 0.306 0.000
6 Ge 0.694 0.694 0.000
7 Ge 0.950 0.450 0.500
8 Ir 0.403 0.403 0.000
9 Ir 0.597 0.597 0.000
10 Pd 0.251 0.751 0.500
11 Pd 0.749 0.249 0.500

=====

Quick one: least stable of them? run B

=====

Run A
VASP calculation (PBE-GGA) on a relaxed structure of PrNd2Ge4Ir2Pd2.

mass density: 9.7 Mg/m³

a b c (Å): 13.048 13.048 13.048
angles (deg): 161.83 160.98 26.42
Sites, in units of the cell vectors:
1 Pr 0.000 0.000 0.000
2 Nd 0.352 0.852 0.500
3 Nd 0.648 0.148 0.500
4 Ge 0.196 0.696 0.500
5 Ge 0.451 0.451 0.000
6 Ge 0.549 0.549 0.000
7 Ge 0.804 0.304 0.500
8 Ir 0.250 0.250 0.000
9 Ir 0.750 0.750 0.000
10 Pd 0.099 0.599 0.500
11 Pd 0.901 0.401 0.500

=====

Run B
VASP calculation (PBE-GGA) on a relaxed structure of PrNd2Ge4Ir2Pd2.

mass density: 9.6 Mg/m³

a b c (Å): 12.968 12.968 12.968
angles (deg): 161.43 160.86 26.79
Sites, in units of the cell vectors:
1 Pr 0.000 0.000 0.000
2 Nd 0.356 0.856 0.500
3 Nd 0.644 0.144 0.500
4 Ge 0.194 0.694 0.500
5 Ge 0.450 0.450 0.000
6 Ge 0.550 0.550 0.000
7 Ge 0.806 0.306 0.500
8 Ir 0.097 0.597 0.500
9 Ir 0.903 0.403 0.500
10 Pd 0.249 0.249 0.000
11 Pd 0.751 0.751 0.000

=====

Quick one: least stable of them? run B

=====

Run A
VASP calculation (PBE-GGA) on a relaxed structure of GePIrO.

mass density: 7.8 Mg/m³

a b c (Å): 3.764 7.758 4.535
angles (deg): 90.00 90.00 90.00
Sites, in units of the cell vectors:
1 Ge 0.000 0.143 0.000
2 Ge 0.000 0.857 0.500
3 P 0.500 0.319 0.901
4 P 0.500 0.681 0.401
5 Ir 0.500 0.393 0.408
6 Ir 0.500 0.607 0.908
7 O 0.000 0.082 0.389
8 O 0.000 0.918 0.889

=====

Run B
VASP calculation (PBE-GGA) on a relaxed structure of GePIrO.

mass density: 9.4 Mg/m³

a b c (Å): 4.441 4.441 5.581
angles (deg): 90.00 90.00 90.00
Sites, in units of the cell vectors:
1 Ge 0.250 0.750 0.000
2 Ge 0.750 0.250 0.000
3 P 0.250 0.250 0.169
4 P 0.750 0.750 0.831
5 Ir 0.250 0.250 0.578
6 Ir 0.750 0.750 0.422
7 O 0.250 0.750 0.500
8 O 0.750 0.250 0.500

=====

Run C
VASP calculation (PBE-GGA) on a relaxed structure of GePIrO.

mass density: 7.6 Mg/m³

a b c (Å): 3.831 3.831 9.303
angles (deg): 90.00 90.00 90.00
Sites, in units of the cell vectors:
1 Ge 0.250 0.250 0.104
2 Ge 0.750 0.750 0.896
3 P 0.250 0.250 0.645
4 P 0.750 0.750 0.355
5 Ir 0.250 0.750 0.500
6 Ir 0.750 0.250 0.500
7 O 0.250 0.750 0.000
8 O 0.750 0.250 0.000

=====

Quick one: least stable of them? run B

=====

Run A
VASP calculation (PBE-GGA) on a relaxed structure of GeIrPb2O6.

mass density: 10.6 Mg/m³

a b c (Å): 5.498 5.498 5.498
angles (deg): 61.45 61.45 61.45
Sites, in units of the cell vectors:
1 Ge 0.000 0.000 0.000
2 Ir 0.500 0.500 0.500
3 Pb 0.248 0.248 0.248
4 Pb 0.752 0.752 0.752
5 O 0.183 0.303 0.765
6 O 0.235 0.817 0.697
7 O 0.303 0.765 0.183
8 O 0.697 0.235 0.817
9 O 0.765 0.183 0.303
10 O 0.817 0.697 0.235

=====

Run B
VASP calculation (PBE-GGA) on a relaxed structure of GeIrPb2O6.

mass density: 10.5 Mg/m³

a b c (Å): 5.549 5.549 5.645
angles (deg): 120.39 120.39 59.85
Sites, in units of the cell vectors:
1 Ge 0.000 0.000 0.000
2 Ir 0.500 0.500 0.500
3 Pb 0.251 0.251 0.758
4 Pb 0.749 0.749 0.242
5 O 0.204 0.713 0.203
6 O 0.240 0.240 0.307
7 O 0.287 0.796 0.797
8 O 0.713 0.204 0.203
9 O 0.760 0.760 0.693
10 O 0.796 0.287 0.797

=====

Quick one: least stable of them? run A

=====

Run A
VASP calculation (PBE-GGA) on a relaxed structure of SrGe2IrPd.

mass density: 8.9 Mg/m³

a b c (Å): 4.482 4.482 9.871
angles (deg): 90.00 90.00 90.00
Sites, in units of the cell vectors:
1 Sr 0.250 0.250 0.249
2 Sr 0.750 0.750 0.751
3 Ge 0.250 0.250 0.628
4 Ge 0.250 0.750 0.000
5 Ge 0.750 0.250 0.000
6 Ge 0.750 0.750 0.372
7 Ir 0.250 0.250 0.877
8 Ir 0.750 0.750 0.123
9 Pd 0.250 0.750 0.500
10 Pd 0.750 0.250 0.500

=====

Run B
VASP calculation (PBE-GGA) on a relaxed structure of SrGe2IrPd.

mass density: 8.8 Mg/m³

a b c (Å): 6.154 6.154 6.154
angles (deg): 138.87 138.87 59.57
Sites, in units of the cell vectors:
1 Sr 0.000 0.000 0.000
2 Ge 0.371 0.371 0.000
3 Ge 0.629 0.629 0.000
4 Ir 0.250 0.750 0.500
5 Pd 0.750 0.250 0.500

=====

Quick one: least stable of them? run B

=====

Run A
VASP calculation (PBE-GGA) on a relaxed structure of PmGeIr.

mass density: 9.9 Mg/m³

a b c (Å): 4.599 4.599 4.599
angles (deg): 60.00 60.00 60.00
Sites, in units of the cell vectors:
1 Pm 0.000 0.000 0.000
2 Ge 0.500 0.500 0.500
3 Ir 0.250 0.250 0.250

=====

Run B
VASP calculation (PBE-GGA) on a relaxed structure of PmGeIr.

mass density: 11.4 Mg/m³

a b c (Å): 7.116 4.426 7.577
angles (deg): 90.00 90.00 90.00
Sites, in units of the cell vectors:
1 Pm 0.006 0.250 0.190
2 Pm 0.494 0.750 0.690
3 Pm 0.506 0.250 0.310
4 Pm 0.994 0.750 0.810
5 Ge 0.200 0.250 0.604
6 Ge 0.300 0.750 0.104
7 Ge 0.700 0.250 0.896
8 Ge 0.800 0.750 0.396
9 Ir 0.161 0.750 0.428
10 Ir 0.339 0.250 0.928
11 Ir 0.661 0.750 0.072
12 Ir 0.839 0.250 0.572

=====

Quick one: least stable of them? run A